(1)
{"formula": "Ho2ZrO", "functional": "PBE", "state": "optimized geometry", "magnetic_moment_mub_per_fu": 0.00, "formation_energy_uncorrected_ev_per_atom": -0.904, "relative_energy_mev_per_atom": 179, "lattice": [[3.138, 0.000, 0.000], [0.000, 3.138, 0.000], [0.000, 0.000, 8.159]], "species": ["Ho", "Ho", "Zr", "O"], "frac_coords": [[0.000, 0.000, 0.188], [0.000, 0.000, 0.812], [0.500, 0.500, 0.500], [0.500, 0.500, 0.000]]}

(2)
{"formula": "Ho2ZrO", "functional": "PBE", "state": "optimized geometry", "magnetic_moment_mub_per_fu": 0.00, "formation_energy_uncorrected_ev_per_atom": -1.084, "relative_energy_mev_per_atom": 0, "lattice": [[3.324, 0.000, 0.000], [-1.662, 2.878, 0.000], [0.000, 0.000, 27.127]], "species": ["Ho", "Ho", "Ho", "Ho", "Ho", "Ho", "Zr", "Zr", "Zr", "O", "O", "O"], "frac_coords": [[0.000, 0.000, 0.116], [0.000, 0.000, 0.884], [0.333, 0.667, 0.551], [0.333, 0.667, 0.782], [0.667, 0.333, 0.218], [0.667, 0.333, 0.449], [0.000, 0.000, 0.000], [0.333, 0.667, 0.667], [0.667, 0.333, 0.333], [0.000, 0.000, 0.500], [0.333, 0.667, 0.167], [0.667, 0.333, 0.833]]}

(3)
{"formula": "HoOs6", "functional": "PBE", "state": "optimized geometry", "e_tot_ev_per_atom": -9.461, "magnetic_moment_mub_per_fu": 0.00, "lattice": [[6.793, 0.000, 0.000], [0.000, 6.793, 0.000], [0.000, 0.000, 6.793]], "species": ["Ho", "Ho", "Os", "Os", "Os", "Os", "Os", "Os", "Os", "Os", "Os", "Os", "Os", "Os"], "frac_coords": [[0.000, 0.000, 0.000], [0.500, 0.500, 0.500], [0.000, 0.250, 0.500], [0.000, 0.500, 0.250], [0.000, 0.500, 0.750], [0.000, 0.750, 0.500], [0.250, 0.000, 0.500], [0.250, 0.500, 0.000], [0.500, 0.000, 0.250], [0.500, 0.000, 0.750], [0.500, 0.250, 0.000], [0.500, 0.750, 0.000], [0.750, 0.000, 0.500], [0.750, 0.500, 0.000]]}

(4)
{"formula": "Ho3Os", "functional": "PBE", "state": "optimized geometry", "e_tot_ev_per_atom": -6.517, "magnetic_moment_mub_per_fu": 0.00, "lattice": [[7.379, 0.000, 0.000], [0.000, 9.008, 0.000], [0.000, 0.000, 6.292]], "species": ["Ho", "Ho", "Ho", "Ho", "Ho", "Ho", "Ho", "Ho", "Ho", "Ho", "Ho", "Ho", "Os", "Os", "Os", "Os"], "frac_coords": [[0.039, 0.250, 0.129], [0.175, 0.063, 0.667], [0.175, 0.437, 0.667], [0.325, 0.563, 0.167], [0.325, 0.937, 0.167], [0.461, 0.750, 0.629], [0.539, 0.250, 0.371], [0.675, 0.063, 0.833], [0.675, 0.437, 0.833], [0.825, 0.563, 0.333], [0.825, 0.937, 0.333], [0.961, 0.750, 0.871], [0.117, 0.750, 0.461], [0.383, 0.250, 0.961], [0.617, 0.750, 0.039], [0.883, 0.250, 0.539]]}

(5)
{"formula": "Ho5Os", "functional": "PBE", "state": "optimized geometry", "e_tot_ev_per_atom": -5.655, "magnetic_moment_mub_per_fu": 0.00, "lattice": [[3.820, 0.000, 0.000], [0.000, 16.346, 0.000], [0.000, 0.000, 5.325]], "species": ["Ho", "Ho", "Ho", "Ho", "Ho", "Ho", "Ho", "Ho", "Ho", "Ho", "Os", "Os"], "frac_coords": [[0.000, 0.000, 0.000], [0.000, 0.126, 0.500], [0.000, 0.333, 0.000], [0.000, 0.667, 0.000], [0.000, 0.874, 0.500], [0.500, 0.167, 0.000], [0.500, 0.374, 0.500], [0.500, 0.500, 0.000], [0.500, 0.626, 0.500], [0.500, 0.833, 0.000], [0.000, 0.500, 0.500], [0.500, 0.000, 0.500]]}

(6)
{"formula": "Ho3Os", "functional": "PBE", "state": "optimized geometry", "e_tot_ev_per_atom": -6.431, "magnetic_moment_mub_per_fu": 0.00, "lattice": [[11.603, 0.000, 0.000], [0.000, 11.603, 0.000], [0.000, 0.000, 6.087]], "species": ["Ho", "Ho", "Ho", "Ho", "Ho", "Ho", "Ho", "Ho", "Ho", "Ho", "Ho", "Ho", "Ho", "Ho", "Ho", "Ho", "Ho", "Ho", "Ho", "Ho", "Ho", "Ho", "Ho", "Ho", "Os", "Os", "Os", "Os", "Os", "Os", "Os", "Os"], "frac_coords": [[0.032, 0.914, 0.211], [0.086, 0.532, 0.711], [0.118, 0.299, 0.018], [0.123, 0.835, 0.702], [0.165, 0.623, 0.202], [0.201, 0.118, 0.482], [0.299, 0.382, 0.482], [0.335, 0.877, 0.202], [0.377, 0.665, 0.702], [0.382, 0.201, 0.018], [0.414, 0.968, 0.711], [0.468, 0.586, 0.211], [0.532, 0.414, 0.789], [0.586, 0.032, 0.289], [0.618, 0.799, 0.982], [0.623, 0.335, 0.298], [0.665, 0.123, 0.798], [0.701, 0.618, 0.518], [0.799, 0.882, 0.518], [0.835, 0.377, 0.798], [0.877, 0.165, 0.298], [0.882, 0.701, 0.982], [0.914, 0.468, 0.289], [0.968, 0.086, 0.789], [0.043, 0.307, 0.534], [0.193, 0.043, 0.966], [0.307, 0.457, 0.966], [0.457, 0.193, 0.534], [0.543, 0.807, 0.466], [0.693, 0.543, 0.034], [0.807, 0.957, 0.034], [0.957, 0.693, 0.466]]}

(7)
{"formula": "HoOs3", "functional": "PBE", "state": "optimized geometry", "e_tot_ev_per_atom": -9.183, "magnetic_moment_mub_per_fu": 0.00, "lattice": [[5.791, 0.000, 0.000], [-2.895, 5.015, 0.000], [0.000, 0.000, 4.599]], "species": ["Ho", "Ho", "Os", "Os", "Os", "Os", "Os", "Os"], "frac_coords": [[0.333, 0.667, 0.250], [0.667, 0.333, 0.750], [0.160, 0.320, 0.750], [0.160, 0.840, 0.750], [0.320, 0.160, 0.250], [0.680, 0.840, 0.750], [0.840, 0.160, 0.250], [0.840, 0.680, 0.250]]}

(8)
{"formula": "Ho3Os", "functional": "PBE", "state": "optimized geometry", "e_tot_ev_per_atom": -6.461, "magnetic_moment_mub_per_fu": 0.00, "lattice": [[-5.807, 5.807, 3.021], [5.807, -5.807, 3.021], [5.807, 5.807, -3.021]], "species": ["Ho", "Ho", "Ho", "Ho", "Ho", "Ho", "Ho", "Ho", "Ho", "Ho", "Ho", "Ho", "Os", "Os", "Os", "Os"], "frac_coords": [[0.108, 0.250, 0.858], [0.109, 0.608, 0.693], [0.249, 0.342, 0.500], [0.251, 0.751, 0.093], [0.392, 0.084, 0.500], [0.392, 0.250, 0.142], [0.584, 0.891, 0.500], [0.658, 0.158, 0.907], [0.750, 0.608, 0.858], [0.750, 0.892, 0.142], [0.842, 0.749, 0.500], [0.916, 0.416, 0.307], [0.250, 0.038, 0.789], [0.250, 0.461, 0.211], [0.539, 0.750, 0.788], [0.962, 0.750, 0.212]]}

(9)
{"formula": "Ho5Os2", "functional": "PBE", "state": "optimized geometry", "e_tot_ev_per_atom": -6.771, "magnetic_moment_mub_per_fu": 0.00, "lattice": [[7.758, -3.170, 0.000], [7.758, 3.170, 0.000], [-0.958, 0.000, 7.278]], "species": ["Ho", "Ho", "Ho", "Ho", "Ho", "Ho", "Ho", "Ho", "Ho", "Ho", "Os", "Os", "Os", "Os"], "frac_coords": [[0.079, 0.921, 0.750], [0.141, 0.294, 0.318], [0.293, 0.524, 0.083], [0.294, 0.141, 0.818], [0.476, 0.707, 0.417], [0.524, 0.293, 0.583], [0.706, 0.859, 0.182], [0.707, 0.476, 0.917], [0.859, 0.706, 0.682], [0.921, 0.079, 0.250], [0.103, 0.677, 0.421], [0.323, 0.897, 0.079], [0.677, 0.103, 0.921], [0.897, 0.323, 0.579]]}

(10)
{"formula": "Ho3Os", "functional": "PBE", "state": "optimized geometry", "e_tot_ev_per_atom": -6.391, "magnetic_moment_mub_per_fu": 0.00, "lattice": [[3.544, 0.000, 0.000], [0.000, 5.185, 0.000], [0.000, 0.000, 11.001]], "species": ["Ho", "Ho", "Ho", "Ho", "Ho", "Ho", "Os", "Os"], "frac_coords": [[0.000, 0.000, 0.000], [0.000, 0.500, 0.198], [0.000, 0.500, 0.802], [0.500, 0.000, 0.302], [0.500, 0.000, 0.698], [0.500, 0.500, 0.500], [0.000, 0.000, 0.500], [0.500, 0.500, 0.000]]}

(11)
{"formula": "Ho3Os", "functional": "PBE", "state": "optimized geometry", "e_tot_ev_per_atom": -6.051, "magnetic_moment_mub_per_fu": 0.00, "lattice": [[3.346, 0.000, 0.000], [0.000, 3.583, 0.000], [0.000, 0.000, 9.362]], "species": ["Ho", "Ho", "Ho", "Os"], "frac_coords": [[0.000, 0.000, 0.000], [0.000, 0.500, 0.345], [0.500, 0.500, 0.713], [0.500, 0.000, 0.497]]}

(12)
{"formula": "Ho4Os", "functional": "PBE", "state": "optimized geometry", "e_tot_ev_per_atom": -5.879, "magnetic_moment_mub_per_fu": 0.00, "lattice": [[5.395, 0.000, 0.000], [0.000, 5.395, 0.000], [0.000, 0.000, 5.395]], "species": ["Ho", "Ho", "Ho", "Ho", "Os"], "frac_coords": [[0.000, 0.000, 0.000], [0.000, 0.500, 0.500], [0.500, 0.000, 0.500], [0.500, 0.500, 0.000], [0.500, 0.500, 0.500]]}

(13)
{"formula": "HoP12Os4", "functional": "PBE", "state": "optimized geometry", "e_tot_ev_per_atom": -7.295, "magnetic_moment_mub_per_fu": 0.00, "lattice": [[-4.050, 4.050, 4.050], [4.050, -4.050, 4.050], [4.050, 4.050, -4.050]], "species": ["Ho", "P", "P", "P", "P", "P", "P", "P", "P", "P", "P", "P", "P", "Os", "Os", "Os", "Os"], "frac_coords": [[0.000, 0.000, 0.000], [0.142, 0.356, 0.499], [0.142, 0.644, 0.786], [0.214, 0.858, 0.356], [0.356, 0.214, 0.858], [0.356, 0.499, 0.142], [0.499, 0.142, 0.356], [0.501, 0.858, 0.644], [0.644, 0.501, 0.858], [0.644, 0.786, 0.142], [0.786, 0.142, 0.644], [0.858, 0.356, 0.214], [0.858, 0.644, 0.501], [0.000, 0.000, 0.500], [0.000, 0.500, 0.000], [0.500, 0.000, 0.000], [0.500, 0.500, 0.500]]}

(14)
{"formula": "HoP2OsRu", "functional": "PBE", "state": "optimized geometry", "e_tot_ev_per_atom": -8.077, "magnetic_moment_mub_per_fu": 0.00, "lattice": [[4.072, 0.000, 0.000], [0.000, 4.072, 0.000], [0.000, 0.000, 9.505]], "species": ["Ho", "Ho", "P", "P", "P", "P", "Os", "Os", "Ru", "Ru"], "frac_coords": [[0.000, 0.000, 0.000], [0.500, 0.500, 0.500], [0.000, 0.000, 0.375], [0.000, 0.000, 0.625], [0.500, 0.500, 0.125], [0.500, 0.500, 0.875], [0.000, 0.500, 0.250], [0.500, 0.000, 0.750], [0.000, 0.500, 0.750], [0.500, 0.000, 0.250]]}

(15)
{"formula": "Ho2Pa2Os3", "functional": "PBE", "state": "optimized geometry", "e_tot_ev_per_atom": -9.108, "magnetic_moment_mub_per_fu": 0.00, "lattice": [[13.319, 0.000, 0.000], [0.000, 4.770, 0.000], [-0.400, 0.000, 5.146]], "species": ["Ho", "Ho", "Ho", "Ho", "Pa", "Pa", "Pa", "Pa", "Os", "Os", "Os", "Os", "Os", "Os"], "frac_coords": [[0.092, 0.000, 0.306], [0.408, 0.500, 0.694], [0.592, 0.500, 0.306], [0.908, 0.000, 0.694], [0.158, 0.500, 0.840], [0.342, 0.000, 0.160], [0.658, 0.000, 0.840], [0.842, 0.500, 0.160], [0.000, 0.500, 0.500], [0.223, 0.500, 0.315], [0.277, 0.000, 0.685], [0.500, 0.000, 0.500], [0.723, 0.000, 0.315], [0.777, 0.500, 0.685]]}

(16)
{"formula": "HoPaOs4", "functional": "PBE", "state": "optimized geometry", "e_tot_ev_per_atom": -10.117, "magnetic_moment_mub_per_fu": 0.00, "lattice": [[0.000, 3.790, 3.790], [3.790, 0.000, 3.790], [3.790, 3.790, 0.000]], "species": ["Ho", "Pa", "Os", "Os", "Os", "Os"], "frac_coords": [[0.000, 0.000, 0.000], [0.250, 0.250, 0.250], [0.124, 0.625, 0.625], [0.625, 0.124, 0.625], [0.625, 0.625, 0.124], [0.625, 0.625, 0.625]]}

(17)
{"formula": "Ho2PaOs", "functional": "PBE", "state": "optimized geometry", "e_tot_ev_per_atom": -7.154, "magnetic_moment_mub_per_fu": 0.00, "lattice": [[3.223, 0.000, 0.000], [-1.611, 2.791, 0.000], [0.000, 0.000, 32.220]], "species": ["Ho", "Ho", "Ho", "Ho", "Ho", "Ho", "Pa", "Pa", "Pa", "Os", "Os", "Os"], "frac_coords": [[0.000, 0.000, 0.101], [0.000, 0.000, 0.899], [0.333, 0.667, 0.566], [0.333, 0.667, 0.767], [0.667, 0.333, 0.233], [0.667, 0.333, 0.434], [0.000, 0.000, 0.000], [0.333, 0.667, 0.667], [0.667, 0.333, 0.333], [0.000, 0.000, 0.500], [0.333, 0.667, 0.167], [0.667, 0.333, 0.833]]}

(18)
{"formula": "HoPaOsPd", "functional": "PBE", "state": "optimized geometry", "e_tot_ev_per_atom": -8.045, "magnetic_moment_mub_per_fu": 0.00, "lattice": [[6.925, 0.000, 0.000], [0.000, 6.925, 0.000], [0.000, 0.000, 6.925]], "species": ["Ho", "Ho", "Ho", "Ho", "Pa", "Pa", "Pa", "Pa", "Os", "Os", "Os", "Os", "Pd", "Pd", "Pd", "Pd"], "frac_coords": [[0.000, 0.000, 0.000], [0.000, 0.500, 0.500], [0.500, 0.000, 0.500], [0.500, 0.500, 0.000], [0.000, 0.000, 0.500], [0.000, 0.500, 0.000], [0.500, 0.000, 0.000], [0.500, 0.500, 0.500], [0.250, 0.250, 0.750], [0.250, 0.750, 0.250], [0.750, 0.250, 0.250], [0.750, 0.750, 0.750], [0.250, 0.250, 0.250], [0.250, 0.750, 0.750], [0.750, 0.250, 0.750], [0.750, 0.750, 0.250]]}

(19)
{"formula": "HoPaOsPt", "functional": "PBE", "state": "optimized geometry", "e_tot_ev_per_atom": -8.405, "magnetic_moment_mub_per_fu": 0.00, "lattice": [[6.926, 0.000, 0.000], [0.000, 6.926, 0.000], [0.000, 0.000, 6.926]], "species": ["Ho", "Ho", "Ho", "Ho", "Pa", "Pa", "Pa", "Pa", "Os", "Os", "Os", "Os", "Pt", "Pt", "Pt", "Pt"], "frac_coords": [[0.000, 0.000, 0.000], [0.000, 0.500, 0.500], [0.500, 0.000, 0.500], [0.500, 0.500, 0.000], [0.000, 0.000, 0.500], [0.000, 0.500, 0.000], [0.500, 0.000, 0.000], [0.500, 0.500, 0.500], [0.250, 0.250, 0.750], [0.250, 0.750, 0.250], [0.750, 0.250, 0.250], [0.750, 0.750, 0.750], [0.250, 0.250, 0.250], [0.250, 0.750, 0.750], [0.750, 0.250, 0.750], [0.750, 0.750, 0.250]]}

(20)
{"formula": "HoPaOsSe", "functional": "PBE", "state": "optimized geometry", "magnetic_moment_mub_per_fu": 0.00, "formation_energy_uncorrected_ev_per_atom": -0.851, "lattice": [[3.957, 0.000, 0.000], [-1.978, 3.427, 0.000], [0.000, 0.000, 21.646]], "species": ["Ho", "Ho", "Ho", "Pa", "Pa", "Pa", "Os", "Os", "Os", "Se", "Se", "Se"], "frac_coords": [[0.000, 0.000, 0.000], [0.333, 0.667, 0.667], [0.667, 0.333, 0.333], [0.000, 0.000, 0.811], [0.333, 0.667, 0.478], [0.667, 0.333, 0.145], [0.000, 0.000, 0.414], [0.333, 0.667, 0.080], [0.667, 0.333, 0.747], [0.000, 0.000, 0.240], [0.333, 0.667, 0.906], [0.667, 0.333, 0.573]]}